Arrangement 1

RbCa2La after structural relaxation. Source: Alexandria, functional PBE-GGA.

The calculation puts the calculated density at 2.7 g cm⁻³. The total magnetization comes out at 0.00 μB per cell.

The structure belongs to space group I-42d (No. 122); the cell edges are 9.873, 9.873 and 7.554 Å and the angles 90.00°, 90.00° and 90.00°. The asymmetric unit holds Rb at (0.000, 0.000, 0.000), Ca at (0.250, 0.250, 0.125) and La at (0.000, 0.000, 0.500).

=====

Arrangement 2

RbCa2La after structural relaxation. Source: Alexandria, functional PBE-GGA.

The calculation puts the calculated density at 2.6 g cm⁻³. The total magnetization comes out at 0.01 μB per cell.

The structure belongs to space group P4/mmm (No. 123); the cell edges are 3.929, 3.929 and 12.506 Å and the angles 90.00°, 90.00° and 90.00°. The asymmetric unit holds Rb at (0.000, 0.000, 0.000), Ca at (0.500, 0.500, 0.289) and La at (0.000, 0.000, 0.500).

=====

Energetically preferred structure: arrangement 2 | next structure: +390 meV per atom

=====

Arrangement 1

CaLa4Re after structural relaxation. Source: Alexandria, functional PBE-GGA.

The calculation puts the calculated density at 7.1 g cm⁻³. The total magnetization comes out at 0.00 μB per cell.

The structure belongs to space group F-43m (No. 216); the cell edges are 8.998, 8.998 and 8.998 Å and the angles 90.00°, 90.00° and 90.00°. The asymmetric unit holds Ca at (0.000, 0.000, 0.000), La at (0.123, 0.123, 0.623) and Re at (0.250, 0.250, 0.250).

=====

Arrangement 2

CaLa4Re after structural relaxation. Source: Alexandria, functional PBE-GGA.

The calculation puts the calculated density at 6.1 g cm⁻³. The total magnetization comes out at 0.00 μB per cell.

The structure belongs to space group P2_1/m (No. 11); the cell edges are 6.299, 7.215 and 9.607 Å and the angles 90.00°, 102.39° and 90.00°. The asymmetric unit holds Ca at (0.209, 0.250, 0.447), La at (0.130, 0.250, 0.061), La at (0.219, 0.750, 0.321), La at (0.349, 0.508, 0.803) and Re at (0.319, 0.750, 0.052).

=====

Energetically preferred structure: arrangement 2 | next structure: +753 meV per atom

=====

Arrangement 1

CaLa3Re after structural relaxation. Source: Alexandria, functional PBE-GGA.

The calculation puts the calculated density at 5.7 g cm⁻³. The total magnetization comes out at 0.00 μB per cell.

The structure belongs to space group Pm-3m (No. 221); the cell edges are 5.708, 5.708 and 5.708 Å and the angles 90.00°, 90.00° and 90.00°. The asymmetric unit holds Ca at (0.000, 0.000, 0.000), La at (0.000, 0.500, 0.500) and Re at (0.500, 0.500, 0.500).

=====

Arrangement 2

CaLa3Re after structural relaxation. Source: Alexandria, functional PBE-GGA.

The calculation puts the calculated density at 6.1 g cm⁻³. The total magnetization comes out at 3.07 μB per cell.

The structure belongs to space group Pm-3m (No. 221); the cell edges are 5.585, 5.585 and 5.585 Å and the angles 90.00°, 90.00° and 90.00°. The asymmetric unit holds Ca at (0.000, 0.000, 0.000), La at (0.000, 0.000, 0.500) and Re at (0.500, 0.500, 0.500).

=====

Energetically preferred structure: arrangement 1 | next structure: +1620 meV per atom

=====

Arrangement 1

CaLa4Rh after structural relaxation. Source: Alexandria, functional PBE-GGA.

The calculation puts the calculated density at 6.0 g cm⁻³. The total magnetization comes out at 0.00 μB per cell.

The structure belongs to space group F-43m (No. 216); the cell edges are 9.174, 9.174 and 9.174 Å and the angles 90.00°, 90.00° and 90.00°. The asymmetric unit holds Ca at (0.000, 0.000, 0.000), La at (0.122, 0.122, 0.622) and Rh at (0.250, 0.250, 0.250).

=====

Arrangement 2

CaLa4Rh after structural relaxation. Source: Alexandria, functional PBE-GGA.

The calculation puts the calculated density at 5.5 g cm⁻³. The total magnetization comes out at 0.01 μB per cell.

The structure belongs to space group C2/m (No. 12); the cell edges are 18.415, 7.596 and 6.462 Å and the angles 90.00°, 110.44° and 90.00°. The asymmetric unit holds Ca at (0.200, 0.000, 0.199), La at (0.000, 0.226, 0.000), La at (0.109, 0.248, 0.611), La at (0.174, 0.500, 0.174) and Rh at (0.006, 0.500, 0.288).

=====

Energetically preferred structure: arrangement 2 | next structure: +662 meV per atom

=====

Arrangement 1

Ca2La2Rh after structural relaxation. Source: Alexandria, functional PBE-GGA.

The calculation puts the calculated density at 4.4 g cm⁻³. The total magnetization comes out at 0.00 μB per cell.

The structure belongs to space group P4/mbm (No. 127); the cell edges are 7.412, 7.412 and 6.285 Å and the angles 90.00°, 90.00° and 90.00°. The asymmetric unit holds Ca at (0.174, 0.326, 0.000), La at (0.166, 0.666, 0.500) and Rh at (0.000, 0.000, 0.500).

=====

Arrangement 2

Ca2La2Rh after structural relaxation. Source: Alexandria, functional PBE-GGA.

The calculation puts the calculated density at 4.2 g cm⁻³. The total magnetization comes out at 0.00 μB per cell.

The structure belongs to space group P4/mmm (No. 123); the cell edges are 5.593, 5.593 and 5.864 Å and the angles 90.00°, 90.00° and 90.00°. The asymmetric unit holds Ca at (0.000, 0.000, 0.000), Ca at (0.500, 0.500, 0.000), La at (0.000, 0.500, 0.500) and Rh at (0.000, 0.000, 0.500).

=====

Energetically preferred structure: arrangement 2 | next structure: +179 meV per atom

=====

Arrangement 1

CaLaRh after structural relaxation. Source: Alexandria, functional PBE-GGA.

The calculation puts the calculated density at 4.8 g cm⁻³. The total magnetization comes out at 0.00 μB per cell.

The structure belongs to space group P3m1 (No. 156); the cell edges are 4.1184, 4.1184 and 6.6279 Å and the angles 90.00°, 90.00° and 120.00°. The asymmetric unit holds Ca at (0.0000, 0.0000, 0.0000), La at (0.6667, 0.3333, 0.5289) and Rh at (0.3333, 0.6667, 0.7435).

=====

Arrangement 2

CaLaRh after structural relaxation. Source: Alexandria, functional PBE-GGA.

The calculation puts the calculated density at 5.8 g cm⁻³. The total magnetization comes out at 0.00 μB per cell.

The structure belongs to space group F-43m (No. 216); the cell edges are 6.854, 6.854 and 6.854 Å and the angles 90.00°, 90.00° and 90.00°. The asymmetric unit holds Ca at (0.000, 0.000, 0.000), La at (0.250, 0.250, 0.750) and Rh at (0.000, 0.000, 0.500).

=====

Arrangement 3

CaLaRh after structural relaxation. Source: Alexandria, functional PBE-GGA.

The calculation puts the calculated density at 5.5 g cm⁻³. The total magnetization comes out at 0.00 μB per cell.

The structure belongs to space group I4mm (No. 107); the cell edges are 3.549, 3.549 and 13.597 Å and the angles 90.00°, 90.00° and 90.00°. The asymmetric unit holds Ca at (0.000, 0.000, 0.000), La at (0.000, 0.000, 0.251) and Rh at (0.000, 0.000, 0.636).

=====

Arrangement 4

CaLaRh after structural relaxation. Source: Alexandria, functional PBE-GGA.

The calculation puts the calculated density at 5.4 g cm⁻³. The total magnetization comes out at 0.00 μB per cell.

The structure belongs to space group F-43m (No. 216); the cell edges are 7.020, 7.020 and 7.020 Å and the angles 90.00°, 90.00° and 90.00°. The asymmetric unit holds Ca at (0.000, 0.000, 0.000), La at (0.000, 0.000, 0.500) and Rh at (0.250, 0.250, 0.750).

=====

Energetically preferred structure: arrangement 1 | next structure: +6 meV per atom